(1)
# PBE-GGA BeTcSe2, optimized geometry
# Symmetry = R-3m (166)
# DFT total energy = -20.44 eV per formula unit
# Formation energy from raw total energies = 15 kJ/mol of atoms
data_BeTcSe2
_symmetry_space_group_name_H-M 'P 1'
_symmetry_Int_Tables_number 1
_cell_length_a 7.452
_cell_length_b 7.452
_cell_length_c 7.452
_cell_angle_alpha 27.98
_cell_angle_beta 27.98
_cell_angle_gamma 27.98
loop_
_symmetry_equiv_pos_as_xyz
'x,y,z'
loop_
_atom_site_label
_atom_site_type_symbol
_atom_site_fract_x
_atom_site_fract_y
_atom_site_fract_z
Be1 Be 0.000 0.000 0.000
Tc1 Tc 0.500 0.500 0.500
Se1 Se 0.098 0.098 0.098
Se2 Se 0.902 0.902 0.902

***

(2)
# PBE-GGA Tb2Ga6Ir, optimized geometry
# Symmetry = C2/m (12)
# DFT total energy = -41.44 eV per formula unit
# ΔH_f (0 K) = -573 meV per atom
data_Tb2Ga6Ir
_symmetry_space_group_name_H-M 'P 1'
_symmetry_Int_Tables_number 1
_cell_length_a 5.911
_cell_length_b 5.911
_cell_length_c 5.848
_cell_angle_alpha 100.19
_cell_angle_beta 100.19
_cell_angle_gamma 58.06
loop_
_symmetry_equiv_pos_as_xyz
'x,y,z'
loop_
_atom_site_label
_atom_site_type_symbol
_atom_site_fract_x
_atom_site_fract_y
_atom_site_fract_z
Tb1 Tb 0.141 0.141 0.342
Tb2 Tb 0.859 0.859 0.658
Ga1 Ga 0.113 0.638 0.171
Ga2 Ga 0.347 0.347 0.790
Ga3 Ga 0.362 0.887 0.829
Ga4 Ga 0.638 0.113 0.171
Ga5 Ga 0.653 0.653 0.210
Ga6 Ga 0.887 0.362 0.829
Ir1 Ir 0.500 0.500 0.500

***

(3)
# PBE-GGA Sr2TaCd2, optimized geometry
# Symmetry = I4/mmm (139)
# DFT total energy = -13.73 eV per formula unit
# ΔH_f (0 K) = 664 meV per atom
# Polymorph energy (0 for the lowest one) = 0 meV per atom
data_Sr2TaCd2
_symmetry_space_group_name_H-M 'P 1'
_symmetry_Int_Tables_number 1
_cell_length_a 11.124
_cell_length_b 11.124
_cell_length_c 11.124
_cell_angle_alpha 159.96
_cell_angle_beta 159.96
_cell_angle_gamma 28.49
loop_
_symmetry_equiv_pos_as_xyz
'x,y,z'
loop_
_atom_site_label
_atom_site_type_symbol
_atom_site_fract_x
_atom_site_fract_y
_atom_site_fract_z
Sr1 Sr 0.101 0.101 0.000
Sr2 Sr 0.899 0.899 0.000
Ta1 Ta 0.500 0.500 0.000
Cd1 Cd 0.250 0.750 0.500
Cd2 Cd 0.750 0.250 0.500